A:
VASP calculation (GGA-PBE) on NdDy3Tm3 after structural relaxation.

Summary:
V   31.7 Å³/atom

Structure (POSCAR):
```
NdDy3Tm3
1.0
-1.754 3.646 -3.923
-8.596 0.283 4.106
6.769 6.146 2.686
Tm Dy Nd
6 6 2
direct
0.250 0.381 0.904
0.250 0.096 0.477
0.750 0.477 0.381
0.250 0.523 0.619
0.750 0.904 0.523
0.750 0.619 0.096
0.750 0.762 0.811
0.250 0.951 0.762
0.750 0.189 0.951
0.250 0.238 0.189
0.250 0.811 0.049
0.750 0.049 0.238
0.750 0.333 0.667
0.250 0.667 0.333
```

B:
VASP calculation (GGA-PBE) on NdDy3Tm3 after structural relaxation.

Summary:
V   32.2 Å³/atom

Structure (POSCAR):
```
NdDy3Tm3
1.0
-0.580 -12.340 -3.338
3.654 2.648 11.976
-6.388 1.331 0.465
Nd Dy Tm
4 12 12
direct
0.000 0.829 0.953
0.000 0.000 0.554
0.829 0.000 0.955
0.171 0.171 0.125
0.267 0.532 0.571
0.719 0.000 0.406
0.281 0.281 0.687
0.266 0.733 0.304
0.734 0.468 0.038
0.532 0.267 0.571
0.000 0.541 0.780
0.000 0.719 0.405
0.459 0.459 0.239
0.468 0.734 0.039
0.541 0.000 0.780
0.733 0.266 0.304
0.000 0.464 0.257
0.536 0.536 0.793
0.000 0.254 0.484
0.436 0.185 0.005
0.250 0.814 0.819
0.814 0.250 0.819
0.254 0.000 0.483
0.186 0.436 0.005
0.746 0.746 0.229
0.750 0.564 0.569
0.464 0.000 0.257
0.564 0.750 0.569
```

It is A that is the most stable of them.

A:
VASP calculation (GGA-PBE) on Nd2Dy3Tm7 after structural relaxation.

Summary:
V   31.6 Å³/atom

Structure (POSCAR):
```
Nd2Dy3Tm7
1.0
-1.220 2.729 -1.991
-4.692 -2.909 -1.112
-5.840 8.860 15.725
Tm Dy Nd
7 3 2
direct
0.000 0.230 0.461
0.500 0.930 0.859
0.000 0.000 0.000
0.000 0.411 0.823
0.000 0.770 0.539
0.500 0.070 0.141
0.000 0.589 0.177
0.500 0.314 0.627
0.500 0.686 0.373
0.500 0.500 0.000
0.000 0.147 0.293
0.000 0.853 0.707
```

B:
VASP calculation (GGA-PBE) on Nd2Dy3Tm7 after structural relaxation.

Summary:
V   31.5 Å³/atom

Structure (POSCAR):
```
Nd2Dy3Tm7
1.0
3.495 0.000 0.000
0.000 6.242 0.750
0.000 2.316 17.622
Tm Nd Dy
7 2 3
direct
0.500 0.244 0.501
0.000 0.000 0.000
0.500 0.062 0.165
0.500 0.756 0.499
0.000 0.437 0.838
0.000 0.563 0.162
0.500 0.938 0.835
0.500 0.386 0.674
0.500 0.614 0.326
0.000 0.892 0.657
0.500 0.500 0.000
0.000 0.108 0.343
```

It is B that is the most stable of them.

A:
VASP calculation (GGA-PBE) on Nd3Dy2Tm8 after structural relaxation.

Summary:
V   32.9 Å³/atom

Structure (POSCAR):
```
Nd3Dy2Tm8
1.0
-2.971 -0.056 4.724
-4.623 -5.356 -2.971
8.258 -4.478 5.132
Dy Tm Nd
2 8 3
direct
0.499 0.241 0.482
0.501 0.759 0.518
0.500 0.181 0.780
0.000 0.135 0.270
0.000 0.865 0.730
0.999 0.329 0.658
0.001 0.671 0.342
0.500 0.819 0.220
0.500 0.599 0.780
0.500 0.401 0.220
0.000 0.293 0.000
0.500 0.000 0.000
0.000 0.707 0.000
```

B:
VASP calculation (GGA-PBE) on Nd3Dy2Tm8 after structural relaxation.

Summary:
V   31.4 Å³/atom

Structure (POSCAR):
```
Nd3Dy2Tm8
1.0
6.057 -0.147 0.987
-1.270 5.567 2.237
-1.836 -2.472 10.752
Tm Nd Dy
8 3 2
direct
0.692 0.154 0.387
0.308 0.846 0.613
0.613 0.692 0.235
0.848 0.077 0.689
0.075 0.463 0.158
0.387 0.308 0.765
0.925 0.537 0.842
0.152 0.923 0.311
0.462 0.769 0.921
0.000 0.000 0.000
0.538 0.231 0.079
0.231 0.384 0.462
0.769 0.616 0.538
```

It is B that is the most stable of them.

A:
VASP calculation (GGA-PBE) on Nd5Dy3Tm after structural relaxation.

Summary:
V   38.0 Å³/atom

Structure (POSCAR):
```
Nd5Dy3Tm
1.0
-2.221 -4.856 8.020
8.291 -0.699 4.859
2.045 3.293 11.132
Dy Tm Nd
6 2 10
direct
0.000 0.000 0.000
0.684 0.684 0.824
0.000 0.000 0.500
0.316 0.316 0.176
0.337 0.337 0.649
0.663 0.663 0.351
0.155 0.155 0.594
0.845 0.845 0.406
0.509 0.509 0.763
0.253 0.747 0.000
0.664 0.158 0.736
0.158 0.664 0.736
0.491 0.491 0.237
0.822 0.822 0.952
0.842 0.336 0.264
0.747 0.253 0.000
0.178 0.178 0.048
0.336 0.842 0.264
```

B:
VASP calculation (GGA-PBE) on Nd5Dy3Tm after structural relaxation.

Summary:
V   34.8 Å³/atom

Structure (POSCAR):
```
Nd5Dy3Tm
1.0
6.307 0.000 0.000
-3.154 9.489 -4.471
0.000 -2.345 11.556
Nd Dy Tm
10 6 2
direct
0.407 0.000 0.750
0.993 0.639 0.469
0.007 0.361 0.531
0.802 0.273 0.115
0.646 0.639 0.969
0.471 0.273 0.615
0.593 0.000 0.250
0.529 0.727 0.385
0.198 0.727 0.885
0.354 0.361 0.031
0.000 0.000 0.500
0.604 0.648 0.674
0.956 0.352 0.826
0.000 0.000 0.000
0.044 0.648 0.174
0.396 0.352 0.326
0.899 0.000 0.750
0.101 0.000 0.250
```

It is B that is the most stable of them.

A:
VASP calculation (GGA-PBE) on Nd3Dy4Tm4 after structural relaxation.

Summary:
V   31.9 Å³/atom

Structure (POSCAR):
```
Nd3Dy4Tm4
1.0
3.553 -0.003 -0.302
-0.050 4.978 -0.623
-0.101 -0.042 19.835
Tm Dy Nd
4 4 3
direct
0.909 0.909 0.818
0.272 0.272 0.544
0.728 0.728 0.456
0.091 0.091 0.182
0.817 0.817 0.633
0.547 0.546 0.092
0.454 0.454 0.908
0.183 0.183 0.367
0.637 0.637 0.274
0.363 0.363 0.726
0.000 0.000 0.000
```

B:
VASP calculation (GGA-PBE) on Nd3Dy4Tm4 after structural relaxation.

Summary:
V   32.8 Å³/atom

Structure (POSCAR):
```
Nd3Dy4Tm4
1.0
-5.471 -0.819 -1.281
4.326 -1.982 -4.624
0.388 -9.586 4.472
Nd Tm Dy
3 4 4
direct
0.254 0.509 0.000
0.409 0.818 0.710
0.409 0.818 0.290
0.615 0.230 0.500
0.557 0.114 0.000
0.103 0.207 0.703
0.103 0.207 0.297
0.751 0.502 0.215
0.957 0.914 0.000
0.889 0.778 0.500
0.751 0.502 0.785
```

It is A that is the most stable of them.

A:
VASP calculation (GGA-PBE) on Nd2DyTm8 after structural relaxation.

Summary:
V   31.8 Å³/atom

Structure (POSCAR):
```
Nd2DyTm8
1.0
5.602 1.654 0.000
2.597 8.624 0.000
1.299 4.312 7.951
Tm Nd Dy
8 2 1
direct
0.500 0.792 0.415
0.827 0.098 0.232
0.704 0.569 0.000
0.173 0.670 0.232
0.296 0.431 0.000
0.173 0.902 0.768
0.827 0.330 0.768
0.500 0.208 0.585
0.000 0.307 0.387
0.000 0.693 0.613
0.500 0.000 0.000
```

B:
VASP calculation (GGA-PBE) on Nd2DyTm8 after structural relaxation.

Summary:
V   31.8 Å³/atom

Structure (POSCAR):
```
Nd2DyTm8
1.0
-4.677 2.356 3.942
-3.808 -5.223 -1.396
6.397 -4.039 4.554
Tm Nd Dy
8 2 1
direct
0.800 0.198 0.601
0.412 0.095 0.823
0.200 0.802 0.399
0.825 0.401 0.172
0.653 0.599 0.828
0.175 0.599 0.828
0.347 0.401 0.172
0.588 0.905 0.177
0.245 0.311 0.490
0.755 0.689 0.510
0.000 0.000 0.000
```

It is A that is the most stable of them.

A:
VASP calculation (GGA-PBE) on NdDy6Tm8 after structural relaxation.

Summary:
V   32.5 Å³/atom

Structure (POSCAR):
```
NdDy6Tm8
1.0
-0.807 6.183 1.484
-8.468 -0.144 -4.008
0.915 -2.063 9.094
Tm Dy Nd
8 6 1
direct
0.158 0.667 0.333
0.908 0.338 0.024
0.092 0.662 0.976
0.908 0.686 0.662
0.092 0.314 0.338
0.092 0.024 0.686
0.908 0.976 0.314
0.842 0.333 0.667
0.588 0.899 0.581
0.412 0.581 0.682
0.412 0.101 0.419
0.588 0.419 0.318
0.412 0.318 0.899
0.588 0.682 0.101
0.500 0.000 0.000
```

B:
VASP calculation (GGA-PBE) on NdDy6Tm8 after structural relaxation.

Summary:
V   31.5 Å³/atom

Structure (POSCAR):
```
NdDy6Tm8
1.0
-3.865 0.886 8.032
-8.254 -3.196 1.375
-1.407 -6.740 5.062
Dy Tm Nd
6 8 1
direct
0.462 0.889 0.875
0.774 0.462 0.875
0.889 0.774 0.875
0.226 0.538 0.125
0.111 0.226 0.125
0.538 0.111 0.125
0.890 0.257 0.573
0.424 0.424 0.729
0.257 0.280 0.573
0.110 0.743 0.427
0.743 0.720 0.427
0.576 0.576 0.271
0.280 0.890 0.573
0.720 0.110 0.427
0.000 0.000 0.000
```

It is B that is the most stable of them.

A:
VASP calculation (GGA-PBE) on NdDy2Tm3 after structural relaxation.

Summary:
V   31.3 Å³/atom

Structure (POSCAR):
```
NdDy2Tm3
1.0
-4.229 -3.097 3.151
3.770 -5.945 -0.784
2.320 4.664 7.781
Nd Dy Tm
2 4 6
direct
0.250 0.874 0.000
0.750 0.126 0.000
0.582 0.543 0.335
0.418 0.457 0.665
0.918 0.208 0.665
0.082 0.792 0.335
0.416 0.957 0.664
0.084 0.293 0.336
0.250 0.376 0.000
0.916 0.707 0.664
0.584 0.043 0.336
0.750 0.624 0.000
```

B:
VASP calculation (GGA-PBE) on NdDy2Tm3 after structural relaxation.

Summary:
V   31.3 Å³/atom

Structure (POSCAR):
```
NdDy2Tm3
1.0
-6.964 -8.438 -3.335
1.125 -3.007 5.258
-4.681 3.992 -0.326
Tm Dy Nd
6 4 2
direct
0.970 0.168 0.833
0.970 0.833 0.168
0.470 0.167 0.832
0.470 0.832 0.167
0.970 0.500 0.500
0.470 0.500 0.500
0.220 0.833 0.501
0.720 0.499 0.167
0.720 0.167 0.499
0.220 0.501 0.833
0.220 0.166 0.166
0.720 0.834 0.834
```

It is B that is the most stable of them.

A:
VASP calculation (GGA-PBE) on NdDy2Tm6 after structural relaxation.

Summary:
V   30.9 Å³/atom

Structure (POSCAR):
```
NdDy2Tm6
1.0
4.984 0.000 0.226
0.000 10.554 0.000
-0.478 0.000 10.543
Tm Nd Dy
12 2 4
direct
0.500 0.832 0.332
0.500 0.165 0.999
0.000 0.001 0.165
0.000 0.335 0.499
0.000 0.332 0.168
0.500 0.501 0.335
0.500 0.835 0.001
0.000 0.668 0.832
0.000 0.999 0.835
0.000 0.665 0.501
0.500 0.168 0.668
0.500 0.499 0.665
0.500 0.500 0.000
0.000 0.000 0.500
0.500 0.832 0.668
0.500 0.168 0.332
0.000 0.332 0.832
0.000 0.668 0.168
```

B:
VASP calculation (GGA-PBE) on NdDy2Tm6 after structural relaxation.

Summary:
V   31.5 Å³/atom

Structure (POSCAR):
```
NdDy2Tm6
1.0
3.564 0.000 0.000
-1.782 3.086 0.000
0.000 0.000 25.812
Dy Nd Tm
2 1 6
direct
0.667 0.333 0.328
0.667 0.333 0.672
0.333 0.667 0.000
0.333 0.667 0.219
0.333 0.667 0.565
0.333 0.667 0.435
0.667 0.333 0.113
0.667 0.333 0.887
0.333 0.667 0.781
```

It is A that is the most stable of them.